Record 1
Entry from Alexandria: a relaxed structure of CuOs2Pb (PBE).

Cell lengths 4.995, 4.995, 4.995 Å; angles 133.37, 133.37, 68.07 degrees
Fractional positions:
Cu (0.000, 0.000, 0.000)
Os (0.250, 0.750, 0.500)
Os (0.750, 0.250, 0.500)
Pb (0.500, 0.500, 0.000)

Its space-group type is I4/mmm. The value obtained for the formation energy is 0.98 eV per atom.

Record 2
Entry from Alexandria: a relaxed structure of CuOsPb2 (PBE).

Cell lengths 3.232, 3.232, 8.488 Å; angles 90.00, 90.00, 90.00 degrees
Fractional positions:
Cu (0.000, 0.000, 0.000)
Os (0.500, 0.500, 0.147)
Pb (0.000, 0.000, 0.372)
Pb (0.500, 0.500, 0.786)

As for the relative energy among the computed polymorphs: 0.000 eV per atom. Its space-group type is P4mm. The value obtained for the formation energy is 0.54 eV per atom.

Record 3
Entry from Alexandria: a relaxed structure of Rb2CuOsPb (PBE).

Cell lengths 6.170, 6.170, 4.674 Å; angles 90.00, 90.00, 90.00 degrees
Fractional positions:
Rb (0.000, 0.500, 0.000)
Rb (0.500, 0.000, 0.000)
Cu (0.000, 0.000, 0.000)
Os (0.000, 0.000, 0.500)
Pb (0.500, 0.500, 0.500)

Its space-group type is P4/mmm. The value obtained for the formation energy is 1.28 eV per atom.

Record 4
Entry from Alexandria: a relaxed structure of CuTeOs2Pb (PBE).

Cell lengths 5.043, 5.043, 4.710 Å; angles 90.00, 90.00, 90.00 degrees
Fractional positions:
Cu (0.000, 0.000, 0.000)
Te (0.500, 0.500, 0.000)
Os (0.000, 0.500, 0.500)
Os (0.500, 0.000, 0.500)
Pb (0.000, 0.000, 0.500)

Its uncorrected formation energy is 2.19 eV per atom. Its space-group type is P4/mmm.

Record 5
Entry from Alexandria: a relaxed structure of CuTe2OsPb (PBE).

Cell lengths 5.882, 5.882, 4.790 Å; angles 90.00, 90.00, 90.00 degrees
Fractional positions:
Cu (0.000, 0.000, 0.000)
Te (0.000, 0.500, 0.500)
Te (0.500, 0.000, 0.500)
Os (0.500, 0.500, 0.000)
Pb (0.000, 0.000, 0.500)

Its uncorrected formation energy is 1.84 eV per atom. Its space-group type is P4/mmm.

Record 6
Entry from Alexandria: a relaxed structure of ZnCu2OsPb (PBE).

Cell lengths 4.818, 4.818, 5.042 Å; angles 90.00, 90.00, 90.00 degrees
Fractional positions:
Zn (0.000, 0.000, 0.000)
Cu (0.000, 0.500, 0.500)
Cu (0.500, 0.000, 0.500)
Os (0.500, 0.500, 0.000)
Pb (0.000, 0.000, 0.500)

Its space-group type is P4/mmm. The value obtained for the formation energy is 1.88 eV per atom.

Record 7
Entry from Alexandria: a relaxed structure of CuOsPd2 (PBE).

Cell lengths 5.560, 5.560, 5.560 Å; angles 103.04, 103.04, 123.29 degrees
Fractional positions:
Cu (0.000, 0.000, 0.000)
Cu (0.750, 0.250, 0.500)
Os (0.250, 0.750, 0.500)
Os (0.500, 0.500, 0.000)
Pd (0.118, 0.625, 0.993)
Pd (0.375, 0.368, 0.493)
Pd (0.632, 0.125, 0.007)
Pd (0.875, 0.882, 0.507)

As for the relative energy among the computed polymorphs: 0.335 eV per atom. Its space-group type is I-42d. The value obtained for the formation energy is 0.79 eV per atom.

Record 8
Entry from Alexandria: a relaxed structure of CuOs3Pd (PBE).

Cell lengths 4.416, 4.416, 4.416 Å; angles 90.00, 90.00, 90.00 degrees
Fractional positions:
Cu (0.000, 0.000, 0.000)
Os (0.000, 0.000, 0.500)
Os (0.000, 0.500, 0.000)
Os (0.500, 0.000, 0.000)
Pd (0.500, 0.500, 0.500)

As for the relative energy among the computed polymorphs: 0.000 eV per atom. Its space-group type is Pm-3m. The value obtained for the formation energy is 2.13 eV per atom.

Record 9
Entry from Alexandria: a relaxed structure of Cu2Os2Pd (PBE).

Cell lengths 6.806, 6.806, 6.806 Å; angles 151.17, 151.17, 41.22 degrees
Fractional positions:
Cu (0.250, 0.750, 0.500)
Cu (0.750, 0.250, 0.500)
Os (0.098, 0.098, 0.000)
Os (0.902, 0.902, 0.000)
Pd (0.500, 0.500, 0.000)

As for the relative energy among the computed polymorphs: 0.190 eV per atom. Its space-group type is I4/mmm. The value obtained for the formation energy is 0.78 eV per atom.

Record 10
Entry from Alexandria: a relaxed structure of CuOsPd2 (PBE).

Cell lengths 4.366, 4.366, 4.366 Å; angles 60.00, 60.00, 60.00 degrees
Fractional positions:
Cu (0.000, 0.000, 0.000)
Os (0.500, 0.500, 0.500)
Pd (0.250, 0.250, 0.250)
Pd (0.750, 0.750, 0.750)

As for the relative energy among the computed polymorphs: 0.000 eV per atom. Its space-group type is Fm-3m. The value obtained for the formation energy is 0.45 eV per atom.

Record 11
Entry from Alexandria: a relaxed structure of Cu2Os2Pd (PBE).

Cell lengths 7.379, 7.379, 2.672 Å; angles 90.00, 90.00, 90.00 degrees
Fractional positions:
Cu (0.179, 0.321, 0.000)
Cu (0.321, 0.821, 0.000)
Cu (0.679, 0.179, 0.000)
Cu (0.821, 0.679, 0.000)
Os (0.117, 0.617, 0.500)
Os (0.383, 0.117, 0.500)
Os (0.617, 0.883, 0.500)
Os (0.883, 0.383, 0.500)
Pd (0.000, 0.000, 0.500)
Pd (0.500, 0.500, 0.500)

As for the relative energy among the computed polymorphs: 0.000 eV per atom. Its space-group type is P4/mbm. The value obtained for the formation energy is 0.59 eV per atom.

Record 12
Entry from Alexandria: a relaxed structure of Cu2OsPd (PBE).

Cell lengths 4.245, 4.245, 4.245 Å; angles 60.00, 60.00, 60.00 degrees
Fractional positions:
Cu (0.250, 0.250, 0.250)
Cu (0.750, 0.750, 0.750)
Os (0.000, 0.000, 0.000)
Pd (0.500, 0.500, 0.500)

As for the relative energy among the computed polymorphs: 0.000 eV per atom. Its space-group type is Fm-3m. The value obtained for the formation energy is 0.41 eV per atom.

Record 13
Entry from Alexandria: a relaxed structure of Cu2OsPd (PBE).

Cell lengths 5.443, 5.443, 5.443 Å; angles 103.18, 103.18, 122.95 degrees
Fractional positions:
Cu (0.119, 0.625, 0.994)
Cu (0.375, 0.369, 0.494)
Cu (0.631, 0.125, 0.006)
Cu (0.875, 0.881, 0.506)
Os (0.000, 0.000, 0.000)
Os (0.750, 0.250, 0.500)
Pd (0.250, 0.750, 0.500)
Pd (0.500, 0.500, 0.000)

As for the relative energy among the computed polymorphs: 0.421 eV per atom. Its space-group type is I-42d. The value obtained for the formation energy is 0.83 eV per atom.

Record 14
Entry from Alexandria: a relaxed structure of Cu2SbOsPd (PBE).

Cell lengths 4.689, 4.689, 4.921 Å; angles 90.00, 90.00, 90.00 degrees
Fractional positions:
Cu (0.000, 0.500, 0.000)
Cu (0.500, 0.000, 0.000)
Sb (0.000, 0.000, 0.500)
Os (0.000, 0.000, 0.000)
Pd (0.500, 0.500, 0.500)

Its uncorrected formation energy is 1.01 eV per atom. Its space-group type is P4/mmm.

Record 15
Entry from Alexandria: a relaxed structure of CuSiOs2Pd (PBE).

Cell lengths 4.880, 4.880, 4.350 Å; angles 90.00, 90.00, 90.00 degrees
Fractional positions:
Cu (0.000, 0.000, 0.000)
Si (0.500, 0.500, 0.000)
Os (0.000, 0.500, 0.500)
Os (0.500, 0.000, 0.500)
Pd (0.500, 0.500, 0.500)

Its uncorrected formation energy is 2.17 eV per atom. Its space-group type is P4/mmm.

Record 16
Entry from Alexandria: a relaxed structure of CuSiOsPd (PBE).

Cell lengths 4.215, 4.215, 4.215 Å; angles 60.00, 60.00, 60.00 degrees
Fractional positions:
Cu (0.000, 0.000, 0.000)
Si (0.500, 0.500, 0.500)
Os (0.250, 0.250, 0.250)
Pd (0.750, 0.750, 0.750)

Its uncorrected formation energy is -0.14 eV per atom. Its space-group type is F-43m.

Record 17
Entry from Alexandria: a relaxed structure of VCuOsPd (PBE).

Cell lengths 4.267, 4.267, 4.267 Å; angles 60.00, 60.00, 60.00 degrees
Fractional positions:
V (0.000, 0.000, 0.000)
Cu (0.500, 0.500, 0.500)
Os (0.750, 0.750, 0.750)
Pd (0.250, 0.250, 0.250)

Its space-group type is F-43m. The value obtained for the formation energy is 0.00 eV per atom.

Record 18
Entry from Alexandria: a relaxed structure of ZrCuOs2Pd (PBE).

Cell lengths 4.828, 4.828, 4.893 Å; angles 90.00, 90.00, 90.00 degrees
Fractional positions:
Zr (0.000, 0.000, 0.000)
Cu (0.500, 0.500, 0.500)
Os (0.000, 0.500, 0.000)
Os (0.500, 0.000, 0.000)
Pd (0.000, 0.000, 0.500)

Its space-group type is P4/mmm. The value obtained for the formation energy is 2.04 eV per atom.

Record 19
Entry from Alexandria: a relaxed structure of Pm3Cu2Os (PBE).

Cell lengths 3.511, 3.511, 10.892 Å; angles 90.00, 90.00, 90.00 degrees
Fractional positions:
Pm (0.000, 0.000, 0.000)
Pm (0.000, 0.000, 0.341)
Pm (0.000, 0.000, 0.659)
Cu (0.500, 0.500, 0.160)
Cu (0.500, 0.500, 0.840)
Os (0.500, 0.500, 0.500)

Its space-group type is P4/mmm. The value obtained for the formation energy is -0.11 eV per atom.

Record 20
Entry from Alexandria: a relaxed structure of Pm7Cu2Os2 (PBE).

Cell lengths 6.817, 6.817, 7.123 Å; angles 90.00, 90.00, 109.97 degrees
Fractional positions:
Pm (0.000, 0.000, 0.000)
Pm (0.000, 0.500, 0.264)
Pm (0.000, 0.500, 0.736)
Pm (0.500, 0.000, 0.264)
Pm (0.500, 0.000, 0.736)
Pm (0.500, 0.500, 0.254)
Pm (0.500, 0.500, 0.746)
Cu (0.162, 0.162, 0.500)
Cu (0.838, 0.838, 0.500)
Os (0.301, 0.699, 0.000)
Os (0.699, 0.301, 0.000)

Its space-group type is Cmmm. The value obtained for the formation energy is 0.02 eV per atom.